VASP calculation (GGA-PBE) on an optimized crystal structure of TaBi3O.

Cell: 5.403 5.403 5.403 Å, 90.00 90.00 90.00°
Atoms (fractional coordinates):
Bi 0.000 0.500 0.000
Bi 0.000 0.000 0.500
Bi 0.500 0.000 0.000
O 0.500 0.500 0.500
Ta 0.000 0.000 0.000

- Space group: Pm-3m, No. 221
- Energy above the lowest structure with this stoichiometry: 495.4 meV per atom
- Crystal system: cubic
- Calculated volume: 157.69 Å³/cell
- Energy: -4.88 eV/atom
- Uncorrected formation energy: 0.81 eV per atom
- Total magnetization: 0.0 μB/f.u.

***

VASP calculation (GGA-PBE) on an optimized crystal structure of TaBi2O6.

Cell: 5.712 5.538 9.268 Å, 90.00 90.01 90.00°
Atoms (fractional coordinates):
Ta 0.500 0.500 0.000
Ta 0.000 0.000 0.500
Bi 0.000 0.500 0.802
Bi 0.500 0.000 0.698
Bi 0.500 0.000 0.302
Bi 0.000 0.500 0.198
O 0.852 0.795 0.343
O 0.852 0.795 0.657
O 0.801 0.678 0.000
O 0.699 0.178 0.500
O 0.648 0.295 0.843
O 0.648 0.295 0.157
O 0.148 0.205 0.657
O 0.148 0.205 0.343
O 0.199 0.322 0.000
O 0.301 0.822 0.500
O 0.352 0.705 0.157
O 0.352 0.705 0.843

- Space group: Pnnm, No. 58
- Crystal system: orthorhombic
- Calculated volume: 293.16 Å³/cell
- Energy: -7.22 eV/atom
- Uncorrected formation energy: -1.74 eV per atom
- Total magnetization: 0.0 μB/f.u.

***

VASP calculation (GGA-PBE) on an optimized crystal structure of TaBi3O.

Cell: 4.864 4.864 4.864 Å, 90.00 90.00 90.00°
Atoms (fractional coordinates):
Bi 0.000 0.500 0.000
Bi 0.000 0.000 0.500
Bi 0.500 0.000 0.000
O 0.000 0.000 0.000
Ta 0.500 0.500 0.500

- Space group: Pm-3m, No. 221
- Energy above the lowest structure with this stoichiometry: 0.0 meV per atom
- Crystal system: cubic
- Calculated volume: 115.05 Å³/cell
- Energy: -5.38 eV/atom
- Uncorrected formation energy: 0.31 eV per atom
- Total magnetization: 1.2 μB/f.u.

***

VASP calculation (GGA-PBE) on an optimized crystal structure of Ta3BiO9.

Cell: 5.434 7.616 8.358 Å, 90.00 92.64 90.00°
Atoms (fractional coordinates):
Ta 0.000 0.000 0.000
Ta 0.000 0.500 0.000
Ta 0.472 0.494 0.699
Ta 0.472 0.006 0.699
Ta 0.528 0.994 0.301
Ta 0.528 0.506 0.301
Bi 0.043 0.250 0.438
Bi 0.957 0.750 0.562
O 0.084 0.250 0.984
O 0.159 0.944 0.790
O 0.159 0.556 0.790
O 0.265 0.963 0.469
O 0.265 0.537 0.469
O 0.352 0.250 0.659
O 0.317 0.952 0.125
O 0.317 0.548 0.125
O 0.435 0.250 0.314
O 0.565 0.750 0.686
O 0.683 0.048 0.875
O 0.683 0.452 0.875
O 0.648 0.750 0.341
O 0.735 0.037 0.531
O 0.735 0.463 0.531
O 0.841 0.056 0.210
O 0.841 0.444 0.210
O 0.916 0.750 0.016

- Space group: P2_1/m, No. 11
- Crystal system: monoclinic
- Calculated volume: 345.51 Å³/cell
- Energy: -9.03 eV/atom
- Uncorrected formation energy: -2.56 eV per atom
- Total magnetization: 0.0 μB/f.u.

***

VASP calculation (GGA-PBE) on an optimized crystal structure of Ta3Bi7O18.

Cell: 6.703 7.687 16.870 Å, 103.12 94.28 90.03°
Atoms (fractional coordinates):
Ta 0.090 0.816 0.123
Ta 0.095 0.311 0.118
Ta 0.501 0.499 0.499
Ta 0.874 0.697 0.896
Ta 0.497 0.003 0.502
Ta 0.869 0.198 0.894
Bi 0.790 0.897 0.328
Bi 0.285 0.159 0.324
Bi 0.296 0.647 0.296
Bi 0.143 0.110 0.721
Bi 0.674 0.359 0.708
Bi 0.151 0.609 0.720
Bi 0.803 0.387 0.292
Bi 0.629 0.571 0.113
Bi 0.032 0.745 0.502
Bi 0.403 0.947 0.893
Bi 0.966 0.261 0.506
Bi 0.343 0.453 0.904
Bi 0.677 0.836 0.682
Bi 0.568 0.058 0.120
O 0.034 0.575 0.144
O 0.131 0.336 0.244
O 0.836 0.667 0.766
O 0.138 0.913 0.243
O 0.838 0.098 0.768
O 0.169 0.143 0.864
O 0.372 0.761 0.109
O 0.367 0.361 0.107
O 0.795 0.285 0.151
O 0.978 0.280 0.006
O 0.462 0.767 0.527
O 0.631 0.619 0.242
O 0.795 0.537 0.491
O 0.146 0.055 0.104
O 0.791 0.941 0.469
O 0.983 0.334 0.664
O 0.999 0.677 0.357
O 0.810 0.952 0.905
O 0.559 0.133 0.249
O 0.588 0.101 0.616
O 0.409 0.884 0.765
O 0.558 0.523 0.622
O 0.920 0.433 0.867
O 0.001 0.826 0.643
O 0.331 0.390 0.774
O 0.588 0.248 0.904
O 0.169 0.720 0.861
O 0.555 0.241 0.475
O 0.792 0.860 0.139
O 0.593 0.656 0.907
O 0.453 0.899 0.375
O 0.448 0.490 0.380
O 0.218 0.055 0.507
O 0.953 0.183 0.369
O 0.212 0.463 0.509
O 0.993 0.726 0.004

- Space group: P1, No. 1
- Crystal system: triclinic
- Calculated volume: 843.99 Å³/cell
- Energy: -7.32 eV/atom
- Uncorrected formation energy: -1.89 eV per atom
- Total magnetization: 0.0 μB/f.u.

***

VASP calculation (GGA-PBE) on an optimized crystal structure of TaBiO4.

Cell: 5.292 5.498 5.848 Å, 90.00 90.00 90.00°
Atoms (fractional coordinates):
Ta 0.000 0.000 0.806
Ta 0.500 0.000 0.306
Bi 0.000 0.500 0.197
Bi 0.500 0.500 0.697
O 0.256 0.859 0.102
O 0.169 0.297 0.897
O 0.331 0.297 0.397
O 0.244 0.859 0.602
O 0.669 0.703 0.397
O 0.756 0.141 0.602
O 0.744 0.141 0.102
O 0.831 0.703 0.897

- Space group: Pnc2, No. 30
- Crystal system: orthorhombic
- Calculated volume: 170.15 Å³/cell
- Energy: -8.12 eV/atom
- Uncorrected formation energy: -2.20 eV per atom
- Total magnetization: 0.0 μB/f.u.

***

VASP calculation (GGA-PBE) on an optimized crystal structure of Ta2BiO6.

Cell: 5.235 5.298 5.298 Å, 120.00 90.00 90.00°
Atoms (fractional coordinates):
Ta 0.500 0.667 0.333
Ta 0.500 0.333 0.667
Bi 0.000 0.000 0.000
O 0.714 0.636 0.636
O 0.286 0.636 0.000
O 0.286 0.000 0.636
O 0.714 0.364 0.000
O 0.286 0.364 0.364
O 0.714 0.000 0.364

- Space group: P-31m, No. 162
- Crystal system: trigonal
- Calculated volume: 127.24 Å³/cell
- Energy: -8.70 eV/atom
- Uncorrected formation energy: -2.33 eV per atom
- Total magnetization: 0.0 μB/f.u.

***

VASP calculation (GGA-PBE) on an optimized crystal structure of Ta6Bi2O19.

Cell: 6.339 6.339 20.579 Å, 90.00 90.00 120.00°
Atoms (fractional coordinates):
Ta 0.000 0.645 0.843
Ta 0.000 0.355 0.157
Ta 0.645 0.000 0.843
Ta 0.000 0.355 0.343
Ta 0.645 0.000 0.657
Ta 0.355 0.000 0.157
Ta 0.000 0.645 0.657
Ta 0.355 0.000 0.343
Ta 0.355 0.355 0.843
Ta 0.645 0.645 0.157
Ta 0.645 0.645 0.343
Ta 0.355 0.355 0.657
Bi 0.333 0.667 0.000
Bi 0.667 0.333 0.000
Bi 0.667 0.333 0.500
Bi 0.333 0.667 0.500
O 0.000 0.599 0.941
O 0.000 0.401 0.059
O 0.599 0.000 0.941
O 0.000 0.401 0.441
O 0.599 0.000 0.559
O 0.401 0.000 0.059
O 0.000 0.599 0.559
O 0.401 0.000 0.441
O 0.401 0.401 0.941
O 0.599 0.599 0.059
O 0.599 0.599 0.441
O 0.401 0.401 0.559
O 0.333 0.667 0.850
O 0.667 0.333 0.150
O 0.667 0.333 0.350
O 0.667 0.333 0.650
O 0.333 0.667 0.650
O 0.333 0.667 0.350
O 0.333 0.667 0.150
O 0.667 0.333 0.850
O 0.000 0.759 0.345
O 0.000 0.241 0.655
O 0.759 0.000 0.345
O 0.000 0.241 0.845
O 0.759 0.000 0.155
O 0.241 0.000 0.655
O 0.000 0.759 0.155
O 0.241 0.000 0.845
O 0.241 0.241 0.345
O 0.759 0.759 0.655
O 0.759 0.759 0.845
O 0.241 0.241 0.155
O 0.000 0.602 0.750
O 0.000 0.398 0.250
O 0.602 0.000 0.750
O 0.398 0.000 0.250
O 0.398 0.398 0.750
O 0.602 0.602 0.250

- Space group: P6_3/mcm, No. 193
- Crystal system: hexagonal
- Calculated volume: 716.11 Å³/cell
- Energy: -8.85 eV/atom
- Uncorrected formation energy: -2.44 eV per atom
- Total magnetization: 0.0 μB/f.u.

***

VASP calculation (GGA-PBE) on an optimized crystal structure of Ta2Bi2O9.

Cell: 12.290 12.290 5.699 Å, 90.00 90.00 155.44°
Atoms (fractional coordinates):
Ta 0.827 0.677 0.039
Ta 0.173 0.323 0.539
Ta 0.323 0.173 0.539
Ta 0.677 0.827 0.039
Bi 0.058 0.441 0.907
Bi 0.441 0.058 0.907
Bi 0.559 0.942 0.407
Bi 0.942 0.559 0.407
O 0.724 0.037 0.066
O 0.565 0.353 0.849
O 0.630 0.630 0.080
O 0.370 0.370 0.580
O 0.353 0.565 0.849
O 0.176 0.637 0.239
O 0.963 0.276 0.566
O 0.966 0.092 0.286
O 0.092 0.966 0.286
O 0.647 0.435 0.349
O 0.276 0.963 0.566
O 0.034 0.908 0.786
O 0.824 0.363 0.739
O 0.435 0.647 0.349
O 0.363 0.824 0.739
O 0.908 0.034 0.786
O 0.037 0.724 0.066
O 0.637 0.176 0.239

- Space group: Cmc2_1, No. 36
- Energy above the lowest structure with this stoichiometry: 0.0 meV per atom
- Crystal system: orthorhombic
- Calculated volume: 357.82 Å³/cell
- Energy: -7.80 eV/atom
- Uncorrected formation energy: -1.94 eV per atom
- Total magnetization: 0.0 μB/f.u.

***

VASP calculation (GGA-PBE) on an optimized crystal structure of Ta2BiO.

Cell: 5.228 5.228 7.188 Å, 68.67 68.67 90.00°
Atoms (fractional coordinates):
Bi 0.000 0.000 0.000
Bi 0.750 0.250 0.500
O 0.500 0.500 0.000
O 0.250 0.750 0.500
Ta 0.465 0.125 0.250
Ta 0.285 0.625 0.250
Ta 0.375 0.535 0.750
Ta 0.875 0.715 0.750

- Space group: I-42d, No. 122
- Energy above the lowest structure with this stoichiometry: 0.0 meV per atom
- Crystal system: tetragonal
- Calculated volume: 168.51 Å³/cell
- Energy: -8.29 eV/atom
- Uncorrected formation energy: -0.15 eV per atom
- Total magnetization: 0.0 μB/f.u.

***

VASP calculation (GGA-PBE) on an optimized crystal structure of TaBiO4.

Cell: 5.614 7.807 7.833 Å, 102.04 89.95 93.31°
Atoms (fractional coordinates):
Ta 0.743 0.827 0.191
Ta 0.276 0.156 0.308
Ta 0.724 0.844 0.692
Ta 0.257 0.173 0.809
Bi 0.268 0.617 0.381
Bi 0.207 0.665 0.886
Bi 0.732 0.383 0.619
Bi 0.793 0.335 0.114
O 0.576 0.049 0.221
O 0.490 0.609 0.679
O 0.042 0.346 0.361
O 0.653 0.820 0.447
O 0.347 0.180 0.553
O 0.805 0.828 0.949
O 0.058 0.389 0.825
O 0.542 0.328 0.866
O 0.424 0.951 0.779
O 0.941 0.043 0.716
O 0.510 0.391 0.321
O 0.195 0.172 0.051
O 0.942 0.611 0.175
O 0.059 0.957 0.284
O 0.958 0.654 0.639
O 0.458 0.672 0.134

- Space group: P-1, No. 2
- Crystal system: triclinic
- Calculated volume: 335.18 Å³/cell
- Energy: -8.17 eV/atom
- Uncorrected formation energy: -2.24 eV per atom
- Total magnetization: 0.0 μB/f.u.

***

VASP calculation (GGA-PBE) on an optimized crystal structure of Ta3BiO.

Cell: 4.363 4.363 4.363 Å, 90.00 90.00 90.00°
Atoms (fractional coordinates):
Bi 0.500 0.500 0.500
O 0.000 0.000 0.000
Ta 0.000 0.500 0.000
Ta 0.000 0.000 0.500
Ta 0.500 0.000 0.000

- Space group: Pm-3m, No. 221
- Energy above the lowest structure with this stoichiometry: 0.0 meV per atom
- Crystal system: cubic
- Calculated volume: 83.04 Å³/cell
- Energy: -9.12 eV/atom
- Uncorrected formation energy: -0.24 eV per atom
- Total magnetization: 0.0 μB/f.u.

***

Look up the uncorrected formation energy of the fifth one. -1.89 eV per atom

***

total magnetization of number 4 (Ta3BiO9)? 0.0 μB/f.u.

***

What did the ninth record say?
VASP calculation (GGA-PBE) on an optimized crystal structure of Ta2Bi2O9.

Cell: 12.290 12.290 5.699 Å, 90.00 90.00 155.44°
Atoms (fractional coordinates):
Ta 0.827 0.677 0.039
Ta 0.173 0.323 0.539
Ta 0.323 0.173 0.539
Ta 0.677 0.827 0.039
Bi 0.058 0.441 0.907
Bi 0.441 0.058 0.907
Bi 0.559 0.942 0.407
Bi 0.942 0.559 0.407
O 0.724 0.037 0.066
O 0.565 0.353 0.849
O 0.630 0.630 0.080
O 0.370 0.370 0.580
O 0.353 0.565 0.849
O 0.176 0.637 0.239
O 0.963 0.276 0.566
O 0.966 0.092 0.286
O 0.092 0.966 0.286
O 0.647 0.435 0.349
O 0.276 0.963 0.566
O 0.034 0.908 0.786
O 0.824 0.363 0.739
O 0.435 0.647 0.349
O 0.363 0.824 0.739
O 0.908 0.034 0.786
O 0.037 0.724 0.066
O 0.637 0.176 0.239

- Space group: Cmc2_1, No. 36
- Energy above the lowest structure with this stoichiometry: 0.0 meV per atom
- Crystal system: orthorhombic
- Calculated volume: 357.82 Å³/cell
- Energy: -7.80 eV/atom
- Uncorrected formation energy: -1.94 eV per atom
- Total magnetization: 0.0 μB/f.u.

***

Number 11 is which compound? TaBiO4